Ho2LuCu4Si4: optimized geometry, PBE-GGA.

Cell lengths 7.797, 7.797, 7.797 Å; angles 149.45, 130.88, 58.96 degrees
Sites, in units of the cell vectors:
Cu 0.639 0.331 0.309
Cu 0.022 0.331 0.691
Cu 0.361 0.669 0.691
Cu 0.978 0.669 0.309
Ho 0.371 0.871 0.500
Ho 0.629 0.129 0.500
Lu 0.000 0.000 0.000
Si 0.215 0.215 0.000
Si 0.785 0.785 0.000
Si 0.313 0.500 0.813
Si 0.687 0.500 0.187

Calculated values
- spin magnetization (Bohr magnetons per cell) = 0.0
- crystal system = orthorhombic
- raw total energy (eV per cell) = -57.166